A plane-wave DFT calculation with PBE was carried out for a geometry-optimized RbAlZn2Tc structure.

It has space group P4/mmm (No. 123), with a = 5.8312 Å, b = 5.8312 Å, c = 5.9445 Å, α = 90.00°, β = 90.00° and γ = 90.00°. Symmetry generates all atoms from Rb at (0.0000, 0.0000, 0.0000), Al at (0.5000, 0.5000, 0.5000), Zn at (0.0000, 0.5000, 0.0000) and Tc at (0.0000, 0.0000, 0.5000).

As for the formation enthalpy at 0 K: 10.15 eV/f.u. As for the electronic total energy: -1.50 eV per atom.